(1)
Entry from Alexandria: TcBi2PbO6 after structural relaxation (PBE-GGA).

Unit cell a=6.674 b=8.450 c=8.450 alpha=109.79 beta=76.55 gamma=76.55
Fractional coordinates of all 20 atoms:
Tc 0.250 0.168 0.832
Tc 0.750 0.832 0.168
Bi 0.350 0.732 0.554
Bi 0.150 0.446 0.268
Bi 0.650 0.268 0.446
Bi 0.850 0.554 0.732
Pb 0.250 0.912 0.088
Pb 0.750 0.088 0.912
O 0.180 0.951 0.837
O 0.320 0.163 0.049
O 0.820 0.049 0.163
O 0.680 0.837 0.951
O 0.505 0.808 0.284
O 0.995 0.716 0.192
O 0.495 0.192 0.716
O 0.005 0.284 0.808
O 0.040 0.669 0.579
O 0.460 0.421 0.331
O 0.960 0.331 0.421
O 0.540 0.579 0.669

## Properties
**E_form (uncorrected)**: -1.06 eV per atom
**Magnetization**: 1.03 μB per formula unit

---

(2)
Entry from Alexandria: Tc2BiPbO8 after structural relaxation (PBE-GGA).

Unit cell a=6.413 b=6.590 c=7.863 alpha=46.05 beta=65.93 gamma=60.88
Fractional coordinates of all 12 atoms:
Tc 0.303 0.243 0.151
Tc 0.697 0.757 0.849
Bi 0.500 0.500 0.500
Pb 0.000 0.000 0.000
O 0.852 0.563 0.732
O 0.658 0.518 0.167
O 0.148 0.437 0.268
O 0.342 0.482 0.833
O 0.590 0.952 0.271
O 0.410 0.048 0.729
O 0.188 0.952 0.271
O 0.812 0.048 0.729

## Properties
**E_form (uncorrected)**: -1.21 eV per atom
**Magnetization**: 0.00 μB per formula unit

---

E_tot: -0.457, -0.505 (Ry/atom)